# 1
Compound: MgBIr
Source: Alexandria via LeMat-Bulk
Functional: PBE-GGA
Structure: relaxed

Output
total magnetization: 0.000 μB per atom
symmetry: No. 187
DFT formation energy: -0.3713 eV/atom
E above lowest polymorph: 76 meV per atom
D(E_F): 0.27 states/eV/atom

Lattice parameters (Å, degrees): 3.9608 3.5446 3.5446 120.00 90.00 90.00
Fractional positions:
Ir  0.1667  0.0000  0.0000
B  0.1668  0.6667  0.3333
Mg  0.6665  0.3333  0.6667

# 2
Compound: MgBIr3
Source: Alexandria via LeMat-Bulk
Functional: PBE-GGA
Structure: relaxed

Output
total magnetization: 0.000 μB per atom
symmetry: No. 62
DFT formation energy: -0.1989 eV/atom
D(E_F): 0.68 states/eV/atom

Lattice parameters (Å, degrees): 3.8403 8.0631 8.9971 90.00 90.00 90.00
Fractional positions:
Mg  0.7500  0.3549  0.5027
Ir  0.7500  0.8876  0.5620
Ir  0.7500  0.3876  0.9380
Ir  0.2500  0.3951  0.2747
Ir  0.7500  0.6049  0.7253
Mg  0.2500  0.1451  0.0027
B  0.7500  0.9378  0.3360
Ir  0.2500  0.8340  0.7756
Ir  0.2500  0.6125  0.0620
Ir  0.7500  0.1049  0.7747
Ir  0.2500  0.3340  0.7244
Ir  0.7500  0.6660  0.2756
B  0.2500  0.5622  0.8360
B  0.7500  0.4378  0.1640
B  0.2500  0.0622  0.6640
Ir  0.2500  0.8951  0.2253
Mg  0.7500  0.8549  0.9973
Mg  0.2500  0.6451  0.4973
Ir  0.7500  0.1660  0.2244
Ir  0.2500  0.1124  0.4380

# 3
Compound: Mg2BIr
Source: Alexandria via LeMat-Bulk
Functional: PBE-GGA
Structure: relaxed

Output
total magnetization: 0.000 μB per atom
symmetry: No. 122
DFT formation energy: 0.7422 eV/atom
D(E_F): 0.60 states/eV/atom

Lattice parameters (Å, degrees): 3.6515 3.6515 9.2305 78.59 78.59 90.00
Fractional positions:
B  0.5000  0.5000  0.0000
Ir  0.7500  0.2500  0.5000
Mg  0.6165  0.1250  0.2500
B  0.2500  0.7500  0.5000
Mg  0.8750  0.8665  0.7500
Mg  0.1335  0.6250  0.2500
Ir  0.0000  0.0000  0.0000
Mg  0.3750  0.3835  0.7500

# 4
Compound: Mg2B3Ir4
Source: Alexandria via LeMat-Bulk
Functional: PBE-GGA
Structure: relaxed

Output
total magnetization: 0.000 μB per atom
symmetry: No. 64
DFT formation energy: -0.2321 eV/atom
D(E_F): 0.29 states/eV/atom

Lattice parameters (Å, degrees): 5.6061 5.6107 8.0873 90.00 110.28 90.00
Fractional positions:
B  0.9407  0.2500  0.3813
B  0.5000  0.5000  0.0000
B  0.4407  0.2500  0.3813
Ir  0.2833  0.4952  0.5667
B  0.5593  0.7500  0.6187
Mg  0.6077  0.8800  0.2154
Ir  0.6983  0.7500  0.8965
B  0.0000  0.0000  0.0000
Ir  0.2167  0.9952  0.4333
B  0.0593  0.7500  0.6187
Mg  0.8923  0.3800  0.7846
Ir  0.8017  0.2500  0.1035
Mg  0.3923  0.1200  0.7846
Ir  0.7167  0.5048  0.4333
Ir  0.7833  0.0048  0.5667
Mg  0.1077  0.6200  0.2154
Ir  0.3017  0.2500  0.1035
Ir  0.1983  0.7500  0.8965

# 5
Compound: MgBIr2
Source: Alexandria via LeMat-Bulk
Functional: PBE-GGA
Structure: relaxed

Output
total magnetization: 0.000 μB per atom
symmetry: No. 225
DFT formation energy: 0.1393 eV/atom
D(E_F): 0.32 states/eV/atom

Lattice parameters (Å, degrees): 4.1258 4.1258 4.1258 60.00 60.00 60.00
Fractional positions:
Ir  0.7500  0.7500  0.7500
Mg  0.5000  0.5000  0.5000
Ir  0.2500  0.2500  0.2500
B  0.0000  0.0000  0.0000

# 6
Compound: MgBIr
Source: Alexandria via LeMat-Bulk
Functional: PBE-GGA
Structure: relaxed

Output
total magnetization: 0.000 μB per atom
symmetry: No. 8
DFT formation energy: -0.3315 eV/atom
E above lowest polymorph: 116 meV per atom
D(E_F): 0.38 states/eV/atom

Lattice parameters (Å, degrees): 4.6569 3.4886 6.0118 90.00 115.70 90.00
Fractional positions:
B  0.5058  0.0000  0.0102
Ir  0.4252  0.5000  0.8176
Mg  0.9087  0.0000  0.8132
B  0.5058  0.5000  0.5102
Ir  0.4252  0.0000  0.3176
Mg  0.9087  0.5000  0.3132

# 7
Compound: MgBIr
Source: Alexandria via LeMat-Bulk
Functional: PBE-GGA
Structure: relaxed

Output
total magnetization: 0.000 μB per atom
symmetry: No. 11
DFT formation energy: -0.2506 eV/atom
E above lowest polymorph: 197 meV per atom
D(E_F): 0.09 states/eV/atom

Lattice parameters (Å, degrees): 3.8991 4.3423 4.9698 95.91 90.00 90.00
Fractional positions:
Mg  0.7500  0.7406  0.9775
Mg  0.2500  0.2594  0.0225
Ir  0.2500  0.8039  0.3836
Ir  0.7500  0.1961  0.6164
B  0.2500  0.3344  0.5197
B  0.7500  0.6656  0.4803

# 8
Compound: MgB2Ir
Source: Alexandria via LeMat-Bulk
Functional: PBE-GGA
Structure: relaxed

Output
total magnetization: 0.000 μB per atom
symmetry: No. 141
DFT formation energy: 0.0882 eV/atom
D(E_F): 0.60 states/eV/atom

Lattice parameters (Å, degrees): 3.8559 3.8559 7.8118 75.71 75.71 90.00
Fractional positions:
Ir  0.0000  0.0000  0.0000
B  0.8750  0.6250  0.2500
Mg  0.2500  0.7500  0.5000
Mg  0.5000  0.5000  0.0000
B  0.8750  0.1250  0.2500
B  0.8750  0.1250  0.7500
Ir  0.7500  0.2500  0.5000
B  0.3750  0.1250  0.7500

# 9
Compound: MgB4Ir5
Source: Alexandria via LeMat-Bulk
Functional: PBE-GGA
Structure: relaxed

Output
total magnetization: 0.000 μB per atom
symmetry: No. 59
DFT formation energy: -0.1088 eV/atom
D(E_F): 0.27 states/eV/atom

Lattice parameters (Å, degrees): 5.5192 6.0205 7.8214 90.00 90.00 90.00
Fractional positions:
B  0.5047  0.2111  0.5000
Ir  0.7429  0.7477  0.2959
B  0.0024  0.0000  0.7154
Ir  0.7429  0.2523  0.2959
B  0.9976  0.5000  0.7846
B  0.4953  0.7111  0.0000
Ir  0.2178  0.0000  0.5000
Ir  0.2571  0.7523  0.7959
Ir  0.7429  0.7477  0.7041
Ir  0.2571  0.2477  0.7959
B  0.0024  0.0000  0.2846
B  0.5047  0.7889  0.5000
B  0.4953  0.2889  0.0000
Ir  0.2571  0.2477  0.2041
Ir  0.2571  0.7523  0.2041
Ir  0.7822  0.5000  0.0000
Mg  0.8796  0.0000  0.0000
Mg  0.1204  0.5000  0.5000
Ir  0.7429  0.2523  0.7041
B  0.9976  0.5000  0.2154

# 10
Compound: Mg3BIr
Source: Alexandria via LeMat-Bulk
Functional: PBE-GGA
Structure: relaxed

Output
total magnetization: 0.003 μB per atom
symmetry: No. 221
DFT formation energy: 0.4851 eV/atom
E above lowest polymorph: 0 meV per atom
D(E_F): 0.99 states/eV/atom

Lattice parameters (Å, degrees): 4.3863 4.3863 4.3863 90.00 90.00 90.00
Fractional positions:
Mg  0.0000  0.5000  0.0000
B  0.0000  0.0000  0.0000
Mg  0.5000  0.0000  0.0000
Mg  0.0000  0.0000  0.5000
Ir  0.5000  0.5000  0.5000

# 11
Compound: MgBIr
Source: Alexandria via LeMat-Bulk
Functional: PBE-GGA
Structure: relaxed

Output
total magnetization: 0.000 μB per atom
symmetry: No. 107
DFT formation energy: 0.2178 eV/atom
E above lowest polymorph: 665 meV per atom
D(E_F): 0.52 states/eV/atom

Lattice parameters (Å, degrees): 2.9055 2.9055 5.9427 104.15 104.15 90.00
Fractional positions:
Mg  0.9571  0.9571  0.9143
Ir  0.7234  0.7234  0.4468
B  0.1694  0.1694  0.3389

# 12
Compound: MgBIr
Source: Alexandria via LeMat-Bulk
Functional: PBE-GGA
Structure: relaxed

Output
total magnetization: 0.000 μB per atom
symmetry: No. 57
DFT formation energy: -0.2729 eV/atom
E above lowest polymorph: 174 meV per atom
D(E_F): 0.25 states/eV/atom

Lattice parameters (Å, degrees): 5.4074 5.9132 5.2725 90.00 90.00 90.00
Fractional positions:
B  0.1515  0.7500  0.0000
Mg  0.6184  0.9091  0.7500
Ir  0.8738  0.4988  0.7500
Ir  0.1262  0.9988  0.7500
Mg  0.6184  0.5909  0.2500
B  0.8485  0.2500  0.0000
B  0.8485  0.2500  0.5000
Mg  0.3816  0.0909  0.2500
B  0.1515  0.7500  0.5000
Ir  0.1262  0.5012  0.2500
Ir  0.8738  0.0012  0.2500
Mg  0.3816  0.4091  0.7500

# 13
Compound: MgBIr2
Source: Alexandria via LeMat-Bulk
Functional: PBE-GGA
Structure: relaxed

Output
total magnetization: 0.000 μB per atom
symmetry: No. 123
DFT formation energy: -0.1208 eV/atom
D(E_F): 0.97 states/eV/atom

Lattice parameters (Å, degrees): 2.8030 2.8030 6.5112 90.00 90.00 90.00
Fractional positions:
Ir  0.0000  0.0000  0.7996
Mg  0.5000  0.5000  0.5000
B  0.5000  0.5000  0.0000
Ir  0.0000  0.0000  0.2004

# 14
Compound: MgBIr2
Source: Alexandria via LeMat-Bulk
Functional: PBE-GGA
Structure: relaxed

Output
total magnetization: 0.000 μB per atom
symmetry: No. 65
DFT formation energy: -0.1850 eV/atom
D(E_F): 0.44 states/eV/atom

Lattice parameters (Å, degrees): 3.1885 4.5992 4.5595 120.29 90.00 90.00
Fractional positions:
Ir  0.0000  0.8321  0.6642
B  0.5000  0.0000  0.0000
Mg  0.5000  0.5000  0.0000
Ir  0.0000  0.1679  0.3358

# 15
Compound: Mg4BIr2
Source: Alexandria via LeMat-Bulk
Functional: PBE-GGA
Structure: relaxed

Output
total magnetization: 0.000 μB per atom
symmetry: No. 65
DFT formation energy: -0.2342 eV/atom
D(E_F): 0.31 states/eV/atom

Lattice parameters (Å, degrees): 2.9557 7.0260 7.0260 62.33 90.00 90.00
Fractional positions:
Mg  0.0000  0.5000  0.0000
Mg  0.5000  0.3081  0.6919
Ir  0.5000  0.1249  0.1249
Mg  0.5000  0.6919  0.3081
Mg  0.0000  0.0000  0.5000
Ir  0.5000  0.8751  0.8751
B  0.0000  0.0000  0.0000

# 16
Compound: Mg3BIr
Source: Alexandria via LeMat-Bulk
Functional: PBE-GGA
Structure: relaxed

Output
total magnetization: 0.000 μB per atom
symmetry: No. 221
DFT formation energy: 0.9079 eV/atom
E above lowest polymorph: 423 meV per atom
D(E_F): 0.43 states/eV/atom

Lattice parameters (Å, degrees): 4.9193 4.9193 4.9193 90.00 90.00 90.00
Fractional positions:
Mg  0.5000  0.0000  0.0000
B  0.5000  0.5000  0.5000
Ir  0.0000  0.0000  0.0000
Mg  0.0000  0.5000  0.0000
Mg  0.0000  0.0000  0.5000

# 17
Compound: Mg2BIr2
Source: Alexandria via LeMat-Bulk
Functional: PBE-GGA
Structure: relaxed

Output
total magnetization: 0.000 μB per atom
symmetry: No. 127
DFT formation energy: -0.4149 eV/atom
D(E_F): 0.47 states/eV/atom

Lattice parameters (Å, degrees): 5.7879 5.7879 4.3626 90.00 90.00 90.00
Fractional positions:
Mg  0.8362  0.3362  0.5000
Mg  0.3362  0.1638  0.5000
Ir  0.1612  0.3388  0.0000
B  0.0000  0.0000  0.0000
B  0.5000  0.5000  0.0000
Ir  0.6612  0.1612  0.0000
Mg  0.6638  0.8362  0.5000
Ir  0.8388  0.6612  0.0000
Mg  0.1638  0.6638  0.5000
Ir  0.3388  0.8388  0.0000

# 18
Compound: MgBIr
Source: Alexandria via LeMat-Bulk
Functional: PBE-GGA
Structure: relaxed

Output
total magnetization: 0.000 μB per atom
symmetry: No. 12
DFT formation energy: -0.2358 eV/atom
E above lowest polymorph: 211 meV per atom
D(E_F): 0.36 states/eV/atom

Lattice parameters (Å, degrees): 3.5830 3.5766 8.7198 101.70 90.00 120.06
Fractional positions:
Ir  0.7063  0.4126  0.6180
Ir  0.2937  0.5874  0.3820
B  0.3835  0.7671  0.6512
B  0.6165  0.2329  0.3488
Mg  0.8873  0.7746  0.1609
Mg  0.1127  0.2254  0.8391

# 19
Compound: Mg2B3Ir2
Source: Alexandria via LeMat-Bulk
Functional: PBE-GGA
Structure: relaxed

Output
total magnetization: 0.000 μB per atom
symmetry: No. 12
DFT formation energy: -0.2089 eV/atom
D(E_F): 0.35 states/eV/atom

Lattice parameters (Å, degrees): 3.5163 5.0671 5.7021 120.10 90.00 110.30
Fractional positions:
Ir  0.8559  0.7119  0.7329
B  0.4213  0.8427  0.5418
B  0.5000  0.0000  0.0000
Mg  0.1500  0.3000  0.7814
Ir  0.1441  0.2881  0.2671
B  0.5787  0.1573  0.4582
Mg  0.8500  0.7000  0.2186

# 20
Compound: MgBIr
Source: Alexandria via LeMat-Bulk
Functional: PBE-GGA
Structure: relaxed

Output
total magnetization: 0.000 μB per atom
symmetry: No. 180
DFT formation energy: -0.4472 eV/atom
E above lowest polymorph: 0 meV per atom
D(E_F): 0.38 states/eV/atom

Lattice parameters (Å, degrees): 5.3052 5.3052 9.4950 90.00 90.00 120.00
Fractional positions:
B  0.7954  0.3977  0.1667
Ir  0.0000  0.5000  0.9553
B  0.3977  0.6023  0.8333
B  0.3977  0.7954  0.5000
Mg  0.5000  0.0000  0.0000
Ir  0.5000  0.5000  0.6220
B  0.6023  0.3977  0.8333
B  0.6023  0.2046  0.5000
Ir  0.5000  0.0000  0.2886
Ir  0.5000  0.0000  0.7114
B  0.2046  0.6023  0.1667
Ir  0.0000  0.5000  0.3780
Ir  0.5000  0.5000  0.0447
Mg  0.0000  0.0000  0.8333
Mg  0.5000  0.5000  0.3333
Mg  0.0000  0.0000  0.5000
Mg  0.0000  0.0000  0.1667
Mg  0.0000  0.5000  0.6667

What did we get for calculated total energy? Answer: -6.082, -7.170, -3.940, -6.750, -6.359, -6.043, -5.962, -5.864, -7.370, -3.579, -5.493, -5.984, -6.619, -6.684, -4.631, -3.157, -5.933, -5.947, -6.058, -6.158 eV/atom, in the order shown.